(1)
{
  "formula": "In2NiTe",
  "functional": "PBE",
  "state": "relaxed",
  "lattice_angstrom": [[6.9706, -1.6713, 0.0000], [6.9706, 1.6713, 0.0000], [-1.2993, 0.0000, 4.0666]],
  "species": ["In", "In", "Ni", "Te"],
  "fractional_positions": [[0.1792, 0.1792, 0.1794], [0.8208, 0.8208, 0.8206], [0.5000, 0.5000, 0.0000], [0.0000, 0.0000, 0.5000]],
  "sg": "C2/m (12)",
  "total_energy_ev_per_atom": -3.581
}

(2)
{
  "formula": "InNiTe2",
  "functional": "PBE",
  "state": "relaxed",
  "lattice_angstrom": [[4.8686, -1.9018, 0.0000], [4.8686, 1.9018, 0.0000], [-2.5417, 0.0000, 5.9128]],
  "species": ["In", "Ni", "Te", "Te"],
  "fractional_positions": [[0.0000, 0.0000, 0.0000], [0.7360, 0.7360, 0.9923], [0.1605, 0.1605, 0.6982], [0.3253, 0.3253, 0.2856]],
  "sg": "Cm (8)",
  "total_energy_ev_per_atom": -3.808
}

(3)
{
  "formula": "In3NiTe",
  "functional": "PBE",
  "state": "relaxed",
  "lattice_angstrom": [[5.9632, 0.0000, 0.0000], [0.0000, 5.9632, 0.0000], [0.0000, 0.0000, 5.9632]],
  "species": ["In", "In", "In", "Ni", "Te"],
  "fractional_positions": [[0.0000, 0.0000, 0.5000], [0.0000, 0.5000, 0.0000], [0.5000, 0.0000, 0.0000], [0.5000, 0.5000, 0.5000], [0.0000, 0.0000, 0.0000]],
  "sg": "Pm-3m (221)",
  "total_energy_ev_per_atom": -2.369
}

(4)
{
  "formula": "InNiTe2",
  "functional": "PBE",
  "state": "relaxed",
  "lattice_angstrom": [[1.9525, 1.1273, 7.5484], [-1.9525, 1.1273, 7.5484], [0.0000, -2.2546, 7.5484]],
  "species": ["In", "Ni", "Te", "Te"],
  "fractional_positions": [[0.0000, 0.0000, 0.0000], [0.1658, 0.1658, 0.1658], [0.5583, 0.5583, 0.5583], [0.7721, 0.7721, 0.7721]],
  "sg": "R3m (160)",
  "total_energy_ev_per_atom": -3.852
}

(5)
{
  "formula": "In2NiTe",
  "functional": "PBE",
  "state": "relaxed",
  "lattice_angstrom": [[3.1644, 0.0000, 0.0000], [0.0000, 3.2504, 0.0000], [0.0000, 0.0000, 8.8237]],
  "species": ["In", "In", "Ni", "Te"],
  "fractional_positions": [[0.0000, 0.0000, 0.1795], [0.0000, 0.0000, 0.8205], [0.5000, 0.5000, 0.0000], [0.5000, 0.5000, 0.5000]],
  "sg": "Pmmm (47)",
  "total_energy_ev_per_atom": -3.528
}

(6)
{
  "formula": "InNiTe2",
  "functional": "PBE",
  "state": "relaxed",
  "lattice_angstrom": [[-2.0195, 2.0195, 6.3730], [2.0195, -2.0195, 6.3730], [2.0195, 2.0195, -6.3730]],
  "species": ["In", "Ni", "Te", "Te"],
  "fractional_positions": [[0.0000, 0.0000, 0.0000], [0.2500, 0.7500, 0.5000], [0.5000, 0.5000, 0.0000], [0.7500, 0.2500, 0.5000]],
  "sg": "I-4m2 (119)",
  "total_energy_ev_per_atom": -3.350
}

(7)
{
  "formula": "InNiTe2",
  "functional": "PBE",
  "state": "relaxed",
  "lattice_angstrom": [[0.0000, 3.6173, 3.6173], [3.6173, 0.0000, 3.6173], [3.6173, 3.6173, 0.0000]],
  "species": ["In", "Ni", "Te", "Te"],
  "fractional_positions": [[0.0000, 0.0000, 0.0000], [0.2500, 0.2500, 0.2500], [0.5000, 0.5000, 0.5000], [0.7500, 0.7500, 0.7500]],
  "sg": "F-43m (216)",
  "total_energy_ev_per_atom": -3.226
}

(8)
{
  "formula": "InNi2Te",
  "functional": "PBE",
  "state": "relaxed",
  "lattice_angstrom": [[3.3437, 0.0000, 0.0000], [0.0000, 3.3437, 0.0000], [0.0000, 0.0000, 6.8231]],
  "species": ["In", "Ni", "Ni", "Te"],
  "fractional_positions": [[0.0000, 0.0000, 0.0000], [0.0000, 0.0000, 0.3912], [0.5000, 0.5000, 0.1841], [0.5000, 0.5000, 0.5508]],
  "sg": "P4mm (99)",
  "total_energy_ev_per_atom": -4.345
}

(9)
{
  "formula": "In3NiTe",
  "functional": "PBE",
  "state": "relaxed",
  "lattice_angstrom": [[5.0784, 0.0000, 0.0000], [0.0000, 5.0784, 0.0000], [0.0000, 0.0000, 5.0784]],
  "species": ["In", "In", "In", "Ni", "Te"],
  "fractional_positions": [[0.0000, 0.0000, 0.5000], [0.0000, 0.5000, 0.0000], [0.5000, 0.0000, 0.0000], [0.0000, 0.0000, 0.0000], [0.5000, 0.5000, 0.5000]],
  "sg": "Pm-3m (221)",
  "total_energy_ev_per_atom": -3.544
}

(10)
{
  "formula": "InNiTe2",
  "functional": "PBE",
  "state": "relaxed",
  "lattice_angstrom": [[3.4403, -1.9866, 0.0000], [3.4403, 1.9866, 0.0000], [-2.2736, 0.0000, 7.1853]],
  "species": ["In", "Ni", "Te", "Te"],
  "fractional_positions": [[0.0000, 0.0000, 0.0000], [0.5000, 0.5000, 0.5000], [0.2284, 0.2284, 0.6866], [0.7716, 0.7716, 0.3134]],
  "sg": "C2/m (12)",
  "total_energy_ev_per_atom": -3.866
}

(11)
{
  "formula": "InNi2Te",
  "functional": "PBE",
  "state": "relaxed",
  "lattice_angstrom": [[1.9729, 1.1391, 5.9448], [-1.9729, 1.1391, 5.9448], [0.0000, -2.2781, 5.9448]],
  "species": ["In", "Ni", "Ni", "Te"],
  "fractional_positions": [[0.0000, 0.0000, 0.0000], [0.2533, 0.2533, 0.2533], [0.5481, 0.5481, 0.5481], [0.8185, 0.8185, 0.8185]],
  "sg": "R3m (160)",
  "total_energy_ev_per_atom": -4.340
}

(12)
{
  "formula": "In2NiTe",
  "functional": "PBE",
  "state": "relaxed",
  "lattice_angstrom": [[-1.6519, 2.2032, 6.5249], [1.6519, -2.2032, 6.5249], [1.6519, 2.2032, -6.5249]],
  "species": ["In", "In", "Ni", "Te"],
  "fractional_positions": [[0.0000, 0.0000, 0.0000], [0.6656, 0.1656, 0.5000], [0.1879, 0.6879, 0.5000], [0.3416, 0.3416, 0.0000]],
  "sg": "Imm2 (44)",
  "total_energy_ev_per_atom": -3.608
}

(13)
{
  "formula": "InNiTe2",
  "functional": "PBE",
  "state": "relaxed",
  "lattice_angstrom": [[2.2650, -2.2691, 0.0000], [2.2650, 2.2691, 0.0000], [0.0000, 0.0000, 9.8192]],
  "species": ["In", "Ni", "Te", "Te"],
  "fractional_positions": [[0.0000, 0.0000, 0.0000], [0.5000, 0.5000, 0.2163], [0.0000, 0.0000, 0.3471], [0.5000, 0.5000, 0.7045]],
  "sg": "Cmm2 (35)",
  "total_energy_ev_per_atom": -3.619
}

(14)
{
  "formula": "InNiTe2",
  "functional": "PBE",
  "state": "relaxed",
  "lattice_angstrom": [[-1.5892, 2.4306, 6.2852], [1.5892, -2.4306, 6.2852], [1.5892, 2.4306, -6.2852]],
  "species": ["In", "Ni", "Te", "Te"],
  "fractional_positions": [[0.0000, 0.0000, 0.0000], [0.8099, 0.3099, 0.5000], [0.3282, 0.8282, 0.5000], [0.6429, 0.6429, 0.0000]],
  "sg": "Imm2 (44)",
  "total_energy_ev_per_atom": -3.619
}

(15)
{
  "formula": "TiInNiTe3",
  "functional": "PBE",
  "state": "relaxed",
  "lattice_angstrom": [[8.5235, 0.0000, 0.0000], [0.0000, 3.8245, 0.0000], [-4.2543, 0.0000, 9.6382]],
  "species": ["Ti", "Ti", "In", "In", "Ni", "Ni", "Te", "Te", "Te", "Te", "Te", "Te"],
  "fractional_positions": [[0.0378, 0.2500, 0.3163], [0.9622, 0.7500, 0.6837], [0.4883, 0.7500, 0.7942], [0.5117, 0.2500, 0.2058], [0.0198, 0.7500, 0.1025], [0.9802, 0.2500, 0.8975], [0.1681, 0.2500, 0.6166], [0.1940, 0.7500, 0.9509], [0.2761, 0.7500, 0.3349], [0.7239, 0.2500, 0.6651], [0.8060, 0.2500, 0.0491], [0.8319, 0.7500, 0.3834]],
  "sg": "P2_1/m (11)",
  "total_energy_ev_per_atom": -4.750
}

(16)
{
  "formula": "TlIn2NiTe",
  "functional": "PBE",
  "state": "relaxed",
  "lattice_angstrom": [[5.0965, 0.0000, 0.0000], [0.0000, 5.0965, 0.0000], [0.0000, 0.0000, 5.1726]],
  "species": ["Tl", "In", "In", "Ni", "Te"],
  "fractional_positions": [[0.0000, 0.0000, 0.0000], [0.0000, 0.5000, 0.5000], [0.5000, 0.0000, 0.5000], [0.0000, 0.0000, 0.5000], [0.5000, 0.5000, 0.0000]],
  "sg": "P4/mmm (123)",
  "total_energy_ev_per_atom": -3.438
}

(17)
{
  "formula": "ZnIn2NiTe",
  "functional": "PBE",
  "state": "relaxed",
  "lattice_angstrom": [[5.0903, 0.0000, 0.0000], [0.0000, 5.0903, 0.0000], [0.0000, 0.0000, 4.6774]],
  "species": ["Zn", "In", "In", "Ni", "Te"],
  "fractional_positions": [[0.0000, 0.0000, 0.0000], [0.0000, 0.5000, 0.5000], [0.5000, 0.0000, 0.5000], [0.0000, 0.0000, 0.5000], [0.5000, 0.5000, 0.0000]],
  "sg": "P4/mmm (123)",
  "total_energy_ev_per_atom": -3.135
}

(18)
{
  "formula": "Zr2InNiTe",
  "functional": "PBE",
  "state": "relaxed",
  "lattice_angstrom": [[5.2714, 0.0000, 0.0000], [0.0000, 5.2714, 0.0000], [0.0000, 0.0000, 5.4733]],
  "species": ["Zr", "Zr", "In", "Ni", "Te"],
  "fractional_positions": [[0.0000, 0.5000, 0.0000], [0.5000, 0.0000, 0.0000], [0.0000, 0.0000, 0.5000], [0.5000, 0.5000, 0.5000], [0.0000, 0.0000, 0.0000]],
  "sg": "P4/mmm (123)",
  "total_energy_ev_per_atom": -4.597
}

(19)
{
  "formula": "ZrIn2NiTe",
  "functional": "PBE",
  "state": "relaxed",
  "lattice_angstrom": [[4.8213, 0.0000, 0.0000], [0.0000, 4.8213, 0.0000], [0.0000, 0.0000, 5.3665]],
  "species": ["Zr", "In", "In", "Ni", "Te"],
  "fractional_positions": [[0.0000, 0.0000, 0.0000], [0.0000, 0.5000, 0.5000], [0.5000, 0.0000, 0.5000], [0.5000, 0.5000, 0.5000], [0.5000, 0.5000, 0.0000]],
  "sg": "P4/mmm (123)",
  "total_energy_ev_per_atom": -4.303
}

(20)
{
  "formula": "Th2InNi5",
  "functional": "PBE",
  "state": "relaxed",
  "lattice_angstrom": [[-3.0364, 3.0364, 3.8995], [3.0364, -3.0364, 3.8995], [3.0364, 3.0364, -3.8995]],
  "species": ["Th", "Th", "In", "Ni", "Ni", "Ni", "Ni", "Ni"],
  "fractional_positions": [[0.0000, 0.5000, 0.5000], [0.5000, 0.0000, 0.5000], [0.2965, 0.2965, 0.0000], [0.5366, 0.5366, 0.5975], [0.5366, 0.9391, 0.0000], [0.9391, 0.5366, 0.0000], [0.9391, 0.9391, 0.4025], [0.9631, 0.9631, 0.0000]],
  "delta_e_f_ev_per_fu": -2.25,
  "sg": "I4mm (107)"
}

(21)
{
  "formula": "Th4InNi2",
  "functional": "PBE",
  "state": "relaxed",
  "lattice_angstrom": [[1.9233, 1.1104, 14.8876], [-1.9233, 1.1104, 14.8876], [0.0000, -2.2208, 14.8876]],
  "species": ["Th", "Th", "Th", "Th", "In", "Ni", "Ni"],
  "fractional_positions": [[0.1091, 0.1091, 0.1091], [0.3006, 0.3006, 0.3006], [0.6994, 0.6994, 0.6994], [0.8909, 0.8909, 0.8909], [0.5000, 0.5000, 0.5000], [0.4041, 0.4041, 0.4041], [0.5959, 0.5959, 0.5959]],
  "delta_e_f_ev_per_fu": -1.07,
  "sg": "R-3m (166)"
}

(22)
{
  "formula": "ThIn3Ni8",
  "functional": "PBE",
  "state": "relaxed",
  "lattice_angstrom": [[5.0206, 0.0000, 0.0000], [-2.5103, 4.3480, 0.0000], [0.0000, 0.0000, 8.1861]],
  "species": ["Th", "In", "In", "In", "Ni", "Ni", "Ni", "Ni", "Ni", "Ni", "Ni", "Ni"],
  "fractional_positions": [[0.0000, 0.0000, 0.0000], [0.0000, 0.0000, 0.3894], [0.6667, 0.3333, 0.4740], [0.6667, 0.3333, 0.8330], [0.1681, 0.3361, 0.6749], [0.1681, 0.8319, 0.6749], [0.3333, 0.6667, 0.4225], [0.3333, 0.6667, 0.9265], [0.5007, 0.0014, 0.1801], [0.5007, 0.4993, 0.1801], [0.6639, 0.8319, 0.6749], [0.9986, 0.4993, 0.1801]],
  "delta_e_f_ev_per_fu": -2.28,
  "sg": "P3m1 (156)"
}

(23)
{
  "formula": "ThIn2Ni6",
  "functional": "PBE",
  "state": "relaxed",
  "lattice_angstrom": [[-1.7971, 3.2259, 6.2796], [1.7971, -3.2259, 6.2796], [1.7971, 3.2259, -6.2796]],
  "species": ["Th", "In", "In", "Ni", "Ni", "Ni", "Ni", "Ni", "Ni"],
  "fractional_positions": [[0.0000, 0.0000, 0.0000], [0.3657, 0.8657, 0.5000], [0.6343, 0.1343, 0.5000], [0.0104, 0.3163, 0.6940], [0.3156, 0.5000, 0.8156], [0.3777, 0.6837, 0.6940], [0.6223, 0.3163, 0.3060], [0.6844, 0.5000, 0.1844], [0.9896, 0.6837, 0.3060]],
  "delta_e_f_ev_per_fu": -0.59,
  "sg": "Immm (71)"
}

(24)
{
  "formula": "ThIn2Ni9",
  "functional": "PBE",
  "state": "relaxed",
  "lattice_angstrom": [[2.4745, 1.4287, 7.9243], [-2.4745, 1.4287, 7.9243], [0.0000, -2.8573, 7.9243]],
  "species": ["Th", "In", "In", "Ni", "Ni", "Ni", "Ni", "Ni", "Ni", "Ni", "Ni", "Ni"],
  "fractional_positions": [[0.0000, 0.0000, 0.0000], [0.1423, 0.1423, 0.1423], [0.8577, 0.8577, 0.8577], [0.0819, 0.5862, 0.5862], [0.3337, 0.3337, 0.3337], [0.4138, 0.4138, 0.9181], [0.4138, 0.9181, 0.4138], [0.5000, 0.5000, 0.5000], [0.5862, 0.0819, 0.5862], [0.5862, 0.5862, 0.0819], [0.6663, 0.6663, 0.6663], [0.9181, 0.4138, 0.4138]],
  "delta_e_f_ev_per_fu": -3.08,
  "sg": "R-3m (166)"
}

(25)
{
  "formula": "ThInNi5",
  "functional": "PBE",
  "state": "relaxed",
  "lattice_angstrom": [[8.1968, 0.0000, 0.0000], [0.0000, 4.9205, 0.0000], [0.0000, 0.0000, 10.3981]],
  "species": ["Th", "Th", "Th", "Th", "In", "In", "In", "In", "Ni", "Ni", "Ni", "Ni", "Ni", "Ni", "Ni", "Ni", "Ni", "Ni", "Ni", "Ni", "Ni", "Ni", "Ni", "Ni", "Ni", "Ni", "Ni", "Ni"],
  "fractional_positions": [[0.2450, 0.2500, 0.0589], [0.2550, 0.7500, 0.5589], [0.7450, 0.2500, 0.4411], [0.7550, 0.7500, 0.9411], [0.1381, 0.2500, 0.3610], [0.3619, 0.7500, 0.8610], [0.6381, 0.2500, 0.1390], [0.8619, 0.7500, 0.6390], [0.0489, 0.2500, 0.6052], [0.0692, 0.9998, 0.8100], [0.0692, 0.5002, 0.8100], [0.0844, 0.7500, 0.0167], [0.1857, 0.7500, 0.2410], [0.3143, 0.2500, 0.7410], [0.4156, 0.2500, 0.5167], [0.4308, 0.0002, 0.3100], [0.4308, 0.4998, 0.3100], [0.4511, 0.7500, 0.1052], [0.5489, 0.2500, 0.8948], [0.5692, 0.9998, 0.6900], [0.5692, 0.5002, 0.6900], [0.5844, 0.7500, 0.4833], [0.6857, 0.7500, 0.2590], [0.8143, 0.2500, 0.7590], [0.9156, 0.2500, 0.9833], [0.9308, 0.0002, 0.1900], [0.9308, 0.4998, 0.1900], [0.9511, 0.7500, 0.3948]],
  "delta_e_f_ev_per_fu": -2.51,
  "sg": "Pnma (62)"
}

(26)
{
  "formula": "Th4InNi",
  "functional": "PBE",
  "state": "relaxed",
  "lattice_angstrom": [[7.5247, 0.0000, 0.0000], [0.0000, 7.5247, 0.0000], [0.0000, 0.0000, 5.8403]],
  "species": ["Th", "Th", "Th", "Th", "Th", "Th", "Th", "Th", "In", "In", "Ni", "Ni"],
  "fractional_positions": [[0.1426, 0.3240, 0.0000], [0.1426, 0.6760, 0.5000], [0.3240, 0.1426, 0.5000], [0.3240, 0.8574, 0.0000], [0.6760, 0.1426, 0.0000], [0.6760, 0.8574, 0.5000], [0.8574, 0.3240, 0.5000], [0.8574, 0.6760, 0.0000], [0.5000, 0.5000, 0.2500], [0.5000, 0.5000, 0.7500], [0.0000, 0.0000, 0.2500], [0.0000, 0.0000, 0.7500]],
  "delta_e_f_ev_per_fu": -1.22,
  "sg": "P4/mcc (124)"
}

So what do the calculations give for ρ? Going down the list: 7.29, 6.50, 4.16, 7.14, 7.61, 6.85, 7.52, 7.83, 6.73, 7.25, 7.45, 7.27, 7.05, 7.33, 6.39, 7.67, 6.59, 5.28, 6.75, 10.07, 10.10, 9.72, 9.28, 9.78, 10.14, 11.06 g cm⁻³.